No. 1
# RbSrTbTe3 | OQMD via LeMat-Bulk | PBE | optimized geometry
data_RbSrTbTe3
_symmetry_space_group_name_H-M 'C 1 2/m 1'
_symmetry_Int_Tables_number 12
_cell_length_a 20.476
_cell_length_b 4.541
_cell_length_c 12.894
_cell_angle_alpha 90.00
_cell_angle_beta 119.12
_cell_angle_gamma 90.00
loop_
_symmetry_equiv_pos_as_xyz
'x,y,z'
'-x,-y,-z'
'-x,y,-z'
'x,-y,z'
'x+1/2,y+1/2,z'
'-x+1/2,-y+1/2,-z'
'-x+1/2,y+1/2,-z'
'x+1/2,-y+1/2,z'
loop_
_atom_site_label
_atom_site_fract_x
_atom_site_fract_y
_atom_site_fract_z
Rb1 0.043 0.000 0.245
Sr1 0.117 0.500 0.678
Tb1 0.168 0.500 0.071
Te1 0.000 0.000 0.500
Te2 0.000 0.500 0.000
Te3 0.159 0.000 0.889
Te4 0.213 0.000 0.253
# Final energy   -99.67 eV for the cell shown
# Energy above the most stable polymorph in this dataset   0 meV per atom
# Magnetization   0.0 μB per cell

No. 2
# RbSrTbTe3 | OQMD via LeMat-Bulk | PBE | optimized geometry
data_RbSrTbTe3
_symmetry_space_group_name_H-M 'C m c m'
_symmetry_Int_Tables_number 63
_symmetry_space_group_name_Hall '-C 2c 2'
_cell_length_a 4.755
_cell_length_b 17.898
_cell_length_c 12.749
_cell_angle_alpha 90.00
_cell_angle_beta 90.00
_cell_angle_gamma 90.00
loop_
_atom_site_label
_atom_site_fract_x
_atom_site_fract_y
_atom_site_fract_z
Rb1 0.000 0.200 0.250
Sr1 0.000 0.067 0.750
Tb1 0.000 0.500 0.000
Te1 0.000 0.118 0.517
Te2 0.000 0.454 0.750
# Final energy   -96.92 eV for the cell shown
# Energy above the most stable polymorph in this dataset   114 meV per atom
# Magnetization   0.0 μB per cell

No. 3
# RbSrTc | OQMD via LeMat-Bulk | PBE | optimized geometry
data_RbSrTc
_symmetry_space_group_name_H-M 'F -4 3 m'
_symmetry_Int_Tables_number 216
_symmetry_space_group_name_Hall 'F -4 2 3'
_cell_length_a 7.700
_cell_length_b 7.700
_cell_length_c 7.700
_cell_angle_alpha 90.00
_cell_angle_beta 90.00
_cell_angle_gamma 90.00
loop_
_atom_site_label
_atom_site_fract_x
_atom_site_fract_y
_atom_site_fract_z
Rb1 0.000 0.000 0.000
Sr1 0.250 0.250 0.750
Tc1 0.250 0.250 0.250
# Final energy   -30.70 eV for the cell shown
# Energy above the most stable polymorph in this dataset   298 meV per atom
# Magnetization   9.5 μB per cell

No. 4
# RbSrTc | OQMD via LeMat-Bulk | PBE | optimized geometry
data_RbSrTc
_symmetry_space_group_name_H-M 'F -4 3 m'
_symmetry_Int_Tables_number 216
_symmetry_space_group_name_Hall 'F -4 2 3'
_cell_length_a 7.934
_cell_length_b 7.934
_cell_length_c 7.934
_cell_angle_alpha 90.00
_cell_angle_beta 90.00
_cell_angle_gamma 90.00
loop_
_atom_site_label
_atom_site_fract_x
_atom_site_fract_y
_atom_site_fract_z
Rb1 0.000 0.000 0.000
Sr1 0.000 0.000 0.500
Tc1 0.250 0.250 0.250
# Final energy   -34.28 eV for the cell shown
# Energy above the most stable polymorph in this dataset   0 meV per atom
# Magnetization   9.5 μB per cell

No. 5
# RbSrTmTe3 | OQMD via LeMat-Bulk | PBE | optimized geometry
data_RbSrTmTe3
_symmetry_space_group_name_H-M 'C m c m'
_symmetry_Int_Tables_number 63
_symmetry_space_group_name_Hall '-C 2c 2'
_cell_length_a 4.902
_cell_length_b 16.627
_cell_length_c 13.028
_cell_angle_alpha 90.00
_cell_angle_beta 90.00
_cell_angle_gamma 90.00
loop_
_atom_site_label
_atom_site_fract_x
_atom_site_fract_y
_atom_site_fract_z
Rb1 0.000 0.250 0.250
Sr1 0.000 0.000 0.000
Tm1 0.000 0.468 0.750
Te1 0.000 0.070 0.750
Te2 0.000 0.371 0.570
# Final energy   -98.42 eV for the cell shown
# Magnetization   0.0 μB per cell

No. 6
# RbSrU | OQMD via LeMat-Bulk | PBE | optimized geometry
data_RbSrU
_symmetry_space_group_name_H-M 'F -4 3 m'
_symmetry_Int_Tables_number 216
_symmetry_space_group_name_Hall 'F -4 2 3'
_cell_length_a 8.665
_cell_length_b 8.665
_cell_length_c 8.665
_cell_angle_alpha 90.00
_cell_angle_beta 90.00
_cell_angle_gamma 90.00
loop_
_atom_site_label
_atom_site_fract_x
_atom_site_fract_y
_atom_site_fract_z
Rb1 0.000 0.000 0.000
Sr1 0.000 0.000 0.500
U1 0.250 0.250 0.250
# Final energy   -34.10 eV for the cell shown
# Magnetization   23.9 μB per cell

No. 7
# Rb2Sr2Zn3 | OQMD via LeMat-Bulk | PBE | optimized geometry
data_Rb2Sr2Zn3
_symmetry_space_group_name_H-M 'R 3 m'
_symmetry_Int_Tables_number 160
_symmetry_space_group_name_Hall 'R 3 -2"'
_cell_length_a 5.7904
_cell_length_b 5.7904
_cell_length_c 28.3351
_cell_angle_alpha 90.00
_cell_angle_beta 90.00
_cell_angle_gamma 120.00
loop_
_atom_site_label
_atom_site_fract_x
_atom_site_fract_y
_atom_site_fract_z
Rb1 0.0000 0.0000 0.0000
Rb2 0.0000 0.0000 0.4966
Sr1 0.0000 0.0000 0.2510
Sr2 0.0000 0.0000 0.7446
Zn1 0.0000 0.0000 0.3716
Zn2 0.0000 0.0000 0.6228
Zn3 0.0000 0.0000 0.8748
# Final energy   -23.96 eV for the cell shown

No. 8
# RbSrZn | OQMD via LeMat-Bulk | PBE | optimized geometry
data_RbSrZn
_symmetry_space_group_name_H-M 'F -4 3 m'
_symmetry_Int_Tables_number 216
_symmetry_space_group_name_Hall 'F -4 2 3'
_cell_length_a 8.347
_cell_length_b 8.347
_cell_length_c 8.347
_cell_angle_alpha 90.00
_cell_angle_beta 90.00
_cell_angle_gamma 90.00
loop_
_atom_site_label
_atom_site_fract_x
_atom_site_fract_y
_atom_site_fract_z
Rb1 0.000 0.000 0.000
Sr1 0.250 0.250 0.250
Zn1 0.000 0.000 0.500
# Final energy   -10.19 eV for the cell shown

What is the final energy in the seventh record? -23.96 eV for the cell shown

Please write out number 7 again, unchanged.
# Rb2Sr2Zn3 | OQMD via LeMat-Bulk | PBE | optimized geometry
data_Rb2Sr2Zn3
_symmetry_space_group_name_H-M 'R 3 m'
_symmetry_Int_Tables_number 160
_symmetry_space_group_name_Hall 'R 3 -2"'
_cell_length_a 5.7904
_cell_length_b 5.7904
_cell_length_c 28.3351
_cell_angle_alpha 90.00
_cell_angle_beta 90.00
_cell_angle_gamma 120.00
loop_
_atom_site_label
_atom_site_fract_x
_atom_site_fract_y
_atom_site_fract_z
Rb1 0.0000 0.0000 0.0000
Rb2 0.0000 0.0000 0.4966
Sr1 0.0000 0.0000 0.2510
Sr2 0.0000 0.0000 0.7446
Zn1 0.0000 0.0000 0.3716
Zn2 0.0000 0.0000 0.6228
Zn3 0.0000 0.0000 0.8748
# Final energy   -23.96 eV for the cell shown

final energy of number 1 (RbSrTbTe3)? -99.67 eV for the cell shown

Please write out number 2 again, unchanged.
# RbSrTbTe3 | OQMD via LeMat-Bulk | PBE | optimized geometry
data_RbSrTbTe3
_symmetry_space_group_name_H-M 'C m c m'
_symmetry_Int_Tables_number 63
_symmetry_space_group_name_Hall '-C 2c 2'
_cell_length_a 4.755
_cell_length_b 17.898
_cell_length_c 12.749
_cell_angle_alpha 90.00
_cell_angle_beta 90.00
_cell_angle_gamma 90.00
loop_
_atom_site_label
_atom_site_fract_x
_atom_site_fract_y
_atom_site_fract_z
Rb1 0.000 0.200 0.250
Sr1 0.000 0.067 0.750
Tb1 0.000 0.500 0.000
Te1 0.000 0.118 0.517
Te2 0.000 0.454 0.750
# Final energy   -96.92 eV for the cell shown
# Energy above the most stable polymorph in this dataset   114 meV per atom
# Magnetization   0.0 μB per cell